# 1
Entry from Alexandria via LeMat-Bulk: a relaxed structure of Nd2TmTh3As6 (GGA-PBE).

abc: 4.2373 8.4407 9.4541
angles: 102.69 102.95 90.00
Fractional coordinates of all 12 atoms:
Th (0.1676, 0.8339, 0.3352)
Th (0.5000, 0.5000, 0.0000)
Th (0.8324, 0.1661, 0.6648)
Nd (0.8337, 0.6669, 0.6674)
Nd (0.1663, 0.3331, 0.3326)
Tm (0.5000, 0.0000, 0.0000)
As (0.6658, 0.5849, 0.3316)
As (0.6633, 0.0797, 0.3267)
As (0.3367, 0.9203, 0.6733)
As (0.3342, 0.4151, 0.6684)
As (0.0012, 0.7581, 0.0024)
As (0.9988, 0.2419, 0.9976)

Calculated values
formation enthalpy at 0 K	-33.624	kcal/mol of atoms
raw total energy	-6.81	eV per atom


# 2
Entry from Alexandria via LeMat-Bulk: a relaxed structure of ZrBeTl (GGA-PBE).

abc: 6.0947 6.0947 6.0947
angles: 149.92 149.92 43.05
Fractional coordinates of all 3 atoms:
Tl (0.3529, 0.3529, 0.0000)
Zr (0.6434, 0.6434, 0.0000)
Be (0.0037, 0.0037, 0.0000)

Calculated values
formation enthalpy at 0 K	4.468	kcal/mol of atoms
raw total energy	-4.69	eV per atom


# 3
Entry from Alexandria via LeMat-Bulk: a relaxed structure of Dy2Ga2Rh5Au (GGA-PBE).

abc: 3.6503 9.7107 9.7107
angles: 90.00 90.00 90.00
Fractional coordinates of all 20 atoms:
Au (0.0000, 0.0000, 0.0000)
Au (0.0000, 0.5000, 0.5000)
Ga (0.0000, 0.3769, 0.1231)
Ga (0.0000, 0.1231, 0.6231)
Ga (0.0000, 0.8769, 0.3769)
Ga (0.0000, 0.6231, 0.8769)
Rh (0.5000, 0.7918, 0.9312)
Rh (0.5000, 0.2082, 0.0688)
Rh (0.5000, 0.5688, 0.7082)
Rh (0.5000, 0.2918, 0.5688)
Rh (0.5000, 0.7082, 0.4312)
Rh (0.5000, 0.0000, 0.5000)
Rh (0.5000, 0.5000, 0.0000)
Rh (0.5000, 0.4312, 0.2918)
Rh (0.5000, 0.9312, 0.2082)
Rh (0.5000, 0.0688, 0.7918)
Dy (0.0000, 0.3239, 0.8239)
Dy (0.0000, 0.1761, 0.3239)
Dy (0.0000, 0.8239, 0.6761)
Dy (0.0000, 0.6761, 0.1761)

Calculated values
formation enthalpy at 0 K	-15.370	kcal/mol of atoms
raw total energy	-6.20	eV per atom


# 4
Entry from Alexandria via LeMat-Bulk: a relaxed structure of SnPbAu (GGA-PBE).

abc: 3.4145 3.4145 6.9643
angles: 104.19 104.19 90.00
Fractional coordinates of all 3 atoms:
Au (0.6741, 0.6741, 0.3482)
Pb (0.0172, 0.0172, 0.0344)
Sn (0.3087, 0.3087, 0.6174)

Calculated values
formation enthalpy at 0 K	-1.142	kcal/mol of atoms
raw total energy	-3.71	eV per atom


# 5
Entry from Alexandria via LeMat-Bulk: a relaxed structure of KMg2CdFe (GGA-PBE).

abc: 5.5371 4.3627 5.5371
angles: 90.00 90.00 90.00
Last column: magnetic moment on the atom in μB.
Fractional coordinates of all 5 atoms:
Mg (0.0000, 0.0000, 0.5000)  0.00
Mg (0.5000, 0.0000, 0.0000)  0.00
Cd (0.5000, 0.5000, 0.5000)  0.00
Fe (0.0000, 0.5000, 0.0000)  -0.11
K (0.0000, 0.0000, 0.0000)  -0.01

Calculated values
formation enthalpy at 0 K	38.842	kcal/mol of atoms
raw total energy	-1.05	eV per atom


# 6
Entry from Alexandria via LeMat-Bulk: a relaxed structure of LaTmAgHg (GGA-PBE).

abc: 3.6968 3.6968 7.6857
angles: 90.00 90.00 90.00
Last column: magnetic moment on the atom in μB.
Fractional coordinates of all 4 atoms:
Ag (0.0000, 0.0000, 0.3895)  0.00
Tm (0.5000, 0.5000, 0.5985)  -0.01
La (0.5000, 0.5000, 0.1103)  0.09
Hg (0.0000, 0.0000, 0.8296)  0.00

Calculated values
formation enthalpy at 0 K	-8.991	kcal/mol of atoms
raw total energy	-3.53	eV per atom


# 7
Entry from Alexandria via LeMat-Bulk: a relaxed structure of ScTiGa2As (GGA-PBE).

abc: 4.8932 4.9540 4.8932
angles: 90.00 90.00 90.00
Last column: magnetic moment on the atom in μB.
Fractional coordinates of all 5 atoms:
Ti (0.5000, 0.5000, 0.5000)  1.47
Ga (0.0000, 0.0000, 0.5000)  -0.03
Ga (0.5000, 0.0000, 0.0000)  -0.03
Sc (0.0000, 0.5000, 0.0000)  0.10
As (0.0000, 0.0000, 0.0000)  0.01

Calculated values
formation enthalpy at 0 K	10.105	kcal/mol of atoms
raw total energy	-4.55	eV per atom


# 8
Entry from Alexandria via LeMat-Bulk: a relaxed structure of Nb2ReW8 (GGA-PBE).

abc: 3.1904 7.1575 8.3287
angles: 104.99 78.96 90.00
Fractional coordinates of all 11 atoms:
Nb (0.6346, 0.8203, 0.6995)
Nb (0.3644, 0.1802, 0.2399)
W (0.2736, 0.6352, 0.4214)
W (0.0898, 0.5440, 0.7892)
W (0.7254, 0.3653, 0.5180)
W (0.9093, 0.4565, 0.1502)
W (0.1816, 0.0943, 0.6054)
W (0.4541, 0.7269, 0.0605)
W (0.5449, 0.2736, 0.8789)
W (0.8174, 0.9062, 0.3340)
Re (0.9995, 0.0003, 0.9697)

Calculated values
formation enthalpy at 0 K	-1.516	kcal/mol of atoms
raw total energy	-12.45	eV per atom


# 9
Entry from Alexandria via LeMat-Bulk: a relaxed structure of PmGa5Ir2Rh (GGA-PBE).

abc: 4.7905 4.7905 7.6705
angles: 90.00 90.00 90.00
Fractional coordinates of all 9 atoms:
Pm (0.0000, 0.0000, 0.5000)
Ga (0.5000, 0.0000, 0.8234)
Ga (0.0000, 0.5000, 0.8234)
Ga (0.0000, 0.5000, 0.1766)
Ga (0.5000, 0.5000, 0.5000)
Ga (0.5000, 0.0000, 0.1766)
Rh (0.0000, 0.0000, 0.0000)
Ir (0.5000, 0.5000, 0.2011)
Ir (0.5000, 0.5000, 0.7989)

Calculated values
formation enthalpy at 0 K	-6.469	kcal/mol of atoms
raw total energy	-5.28	eV per atom


# 10
Entry from Alexandria via LeMat-Bulk: a relaxed structure of Ge5B2Pd12 (GGA-PBE).

abc: 6.8476 7.4650 7.2854
angles: 111.07 90.00 117.30
Fractional coordinates of all 19 atoms:
Pd (0.5901, 0.7578, 0.4573)
Pd (0.4099, 0.2422, 0.5427)
Pd (0.5463, 0.6548, 0.8964)
Pd (0.1085, 0.6548, 0.8964)
Pd (0.8323, 0.2422, 0.5427)
Pd (0.8915, 0.3452, 0.1036)
Pd (0.1677, 0.7578, 0.4573)
Pd (0.9521, 0.9042, 0.7936)
Pd (0.0479, 0.0958, 0.2064)
Pd (0.4984, 0.9969, 0.8087)
Pd (0.5016, 0.0031, 0.1913)
Pd (0.4537, 0.3452, 0.1036)
Ge (0.2541, 0.5082, 0.5792)
Ge (0.0000, 0.0000, 0.5000)
Ge (0.2980, 0.5960, 0.1504)
Ge (0.7459, 0.4918, 0.4208)
Ge (0.7020, 0.4040, 0.8496)
B (0.7503, 0.0000, 0.0000)
B (0.2497, 0.0000, 0.0000)

Calculated values
formation enthalpy at 0 K	-7.184	kcal/mol of atoms
raw total energy	-5.51	eV per atom


# 11
Entry from Alexandria via LeMat-Bulk: a relaxed structure of Cs2KVS4 (GGA-PBE).

abc: 7.1949 7.6125 14.0598
angles: 83.06 75.17 61.80
Fractional coordinates of all 16 atoms:
S (0.2812, 0.1915, 0.9075)
S (0.3698, 0.6915, 0.4075)
S (0.3802, 0.8085, 0.0925)
S (0.4688, 0.3085, 0.5925)
S (0.5273, 0.1915, 0.0925)
S (0.9387, 0.6915, 0.5925)
S (0.8113, 0.8085, 0.9075)
S (0.2227, 0.3085, 0.4075)
Cs (0.8125, 0.0000, 0.3750)
Cs (0.5625, 0.5000, 0.8750)
Cs (0.9375, 0.5000, 0.1250)
Cs (0.1875, 0.0000, 0.6250)
K (0.7500, 0.5000, 0.5000)
K (0.0000, 0.0000, 0.0000)
V (0.5000, 0.0000, 0.0000)
V (0.2500, 0.5000, 0.5000)

Calculated values
ΔE_f (raw)	-1052	meV per atom
raw total energy	-4.61	eV per atom


# 12
Entry from Alexandria via LeMat-Bulk: a relaxed structure of Mg3ZnTe (GGA-PBE).

abc: 5.5205 5.5205 5.5205
angles: 90.00 90.00 90.00
Fractional coordinates of all 5 atoms:
Te (0.0000, 0.0000, 0.0000)
Mg (0.0000, 0.5000, 0.0000)
Mg (0.0000, 0.0000, 0.5000)
Mg (0.5000, 0.0000, 0.0000)
Zn (0.5000, 0.5000, 0.5000)

Calculated values
ΔE_f (raw)	435	meV per atom
raw total energy	-1.40	eV per atom